The following is a GGA+U calculation of ScFeAgF6 after structural relaxation, from Alexandria via LeMat-Bulk.

Summary:
E	-99.76	eV for the cell shown
density of states at the Fermi level	0.77	states/eV per atom

a = 5.572 Å, b = 5.572 Å, c = 10.245 Å
α = 90.00°, β = 90.00°, γ = 120.00°
Sites, in units of the cell vectors:
Sc  0.667  0.333  0.250
Sc  0.333  0.667  0.750
Fe  0.333  0.667  0.250
Fe  0.667  0.333  0.750
Ag  0.000  0.000  0.000
Ag  0.000  0.000  0.500
F  0.635  0.627  0.143
F  0.992  0.365  0.143
F  0.365  0.992  0.643
F  0.008  0.635  0.857
F  0.373  0.365  0.357
F  0.992  0.627  0.357
F  0.627  0.992  0.857
F  0.635  0.008  0.357
F  0.008  0.373  0.643
F  0.373  0.008  0.143
F  0.627  0.635  0.643
F  0.365  0.373  0.857